1.
Here is BaZn2BPt after structural relaxation from Alexandria. Energies are from PBE.

Cell lengths 4.854, 4.854, 6.055 Å; angles 90.00, 90.00, 90.00 degrees
Atoms (fractional coordinates):
Ba  0.000  0.000  0.000
Zn  0.000  0.500  0.500
Zn  0.500  0.000  0.500
B  0.500  0.500  0.000
Pt  0.000  0.000  0.500

Volume ... 142.66 Å³/cell
D(E_F) ... 2.95 states/eV/cell
DFT formation energy ... 0.57 eV/atom


2.
Here is Rb3ErU3Se8 after structural relaxation from Alexandria. Energies are from PBE.

Cell lengths 9.501, 9.501, 9.501 Å; angles 52.40, 52.40, 52.40 degrees
Atoms (fractional coordinates):
Rb  0.000  0.500  0.500
Rb  0.500  0.000  0.500
Rb  0.500  0.500  0.000
Er  0.500  0.500  0.500
U  0.000  0.000  0.500
U  0.000  0.500  0.000
U  0.500  0.000  0.000
Se  0.232  0.232  0.232
Se  0.233  0.730  0.730
Se  0.270  0.270  0.767
Se  0.270  0.767  0.270
Se  0.730  0.233  0.730
Se  0.730  0.730  0.233
Se  0.767  0.270  0.270
Se  0.768  0.768  0.768

Volume ... 498.32 Å³/cell
Final energy ... -5.97 eV/atom
D(E_F) ... 16.91 states/eV/cell


3.
Here is Li3Au after structural relaxation from Alexandria. Energies are from PBE.

Cell lengths 2.863, 4.019, 5.696 Å; angles 90.00, 93.36, 90.00 degrees
Atoms (fractional coordinates):
Li  0.000  0.000  0.000
Li  0.490  0.500  0.276
Li  0.510  0.500  0.724
Au  0.000  0.000  0.500

Volume ... 65.42 Å³/cell
D(E_F) ... 0.97 states/eV/cell
DFT formation energy ... -0.34 eV/atom


4.
Here is PuPaNb2 after structural relaxation from Alexandria. Energies are from PBE.

Cell lengths 4.957, 4.957, 4.957 Å; angles 60.00, 60.00, 60.00 degrees
Atoms (fractional coordinates):
Pu  0.000  0.000  0.000
Pa  0.500  0.500  0.500
Nb  0.250  0.250  0.250
Nb  0.750  0.750  0.750

Volume ... 86.13 Å³/cell
D(E_F) ... 8.42 states/eV/cell
DFT formation energy ... 0.31 eV/atom
ΔE to the lowest computed polymorph ... 0.000 eV per atom


5.
Here is Sc3P4Rh4 after structural relaxation from Alexandria. Energies are from PBE.

Cell lengths 7.493, 7.493, 7.493 Å; angles 150.37, 125.93, 62.87 degrees
Atoms (fractional coordinates):
Sc  0.000  0.000  0.000
Sc  0.380  0.880  0.500
Sc  0.620  0.120  0.500
P  0.221  0.221  0.000
P  0.305  0.500  0.805
P  0.695  0.500  0.195
P  0.779  0.779  0.000
Rh  0.031  0.327  0.704
Rh  0.377  0.673  0.704
Rh  0.623  0.327  0.296
Rh  0.969  0.673  0.296

Volume ... 166.88 Å³/cell
D(E_F) ... 4.42 states/eV/cell
DFT formation energy ... -1.17 eV/atom


6.
Here is TiNb4Se8 after structural relaxation from Alexandria. Energies are from PBE.

Cell lengths 7.487, 7.487, 7.487 Å; angles 56.39, 56.39, 56.39 degrees
Atoms (fractional coordinates):
Ti  0.000  0.000  0.000
Nb  0.000  0.000  0.500
Nb  0.000  0.500  0.000
Nb  0.500  0.000  0.000
Nb  0.500  0.500  0.500
Se  0.248  0.248  0.734
Se  0.248  0.734  0.248
Se  0.254  0.254  0.254
Se  0.266  0.752  0.752
Se  0.734  0.248  0.248
Se  0.746  0.746  0.746
Se  0.752  0.266  0.752
Se  0.752  0.752  0.266

Volume ... 271.97 Å³/cell
Final energy ... -6.65 eV/atom
D(E_F) ... 5.58 states/eV/cell


7.
Here is BaTl2Cd after structural relaxation from Alexandria. Energies are from PBE.

Cell lengths 5.669, 5.669, 5.669 Å; angles 119.88, 119.88, 90.21 degrees
Atoms (fractional coordinates):
Ba  0.000  0.000  0.000
Tl  0.500  0.500  0.000
Tl  0.750  0.250  0.500
Cd  0.250  0.750  0.500

Volume ... 129.08 Å³/cell
D(E_F) ... 1.50 states/eV/cell
DFT formation energy ... -0.25 eV/atom


8.
Here is YCu4Pt2 after structural relaxation from Alexandria. Energies are from PBE.

Cell lengths 5.803, 5.803, 5.803 Å; angles 102.24, 102.24, 125.16 degrees
Atoms (fractional coordinates):
Y  0.000  0.000  0.000
Cu  0.280  0.500  0.780
Cu  0.500  0.280  0.780
Cu  0.500  0.720  0.220
Cu  0.720  0.500  0.220
Pt  0.250  0.750  0.500
Pt  0.750  0.250  0.500

Volume ... 141.78 Å³/cell
D(E_F) ... 4.70 states/eV/cell
DFT formation energy ... 0.20 eV/atom


9.
Here is YGe2Rh after structural relaxation from Alexandria. Energies are from PBE.

Cell lengths 4.691, 4.691, 4.691 Å; angles 60.00, 60.00, 60.00 degrees
Atoms (fractional coordinates):
Y  0.000  0.000  0.000
Ge  0.250  0.250  0.250
Ge  0.750  0.750  0.750
Rh  0.500  0.500  0.500

Volume ... 73.00 Å³/cell
D(E_F) ... 0.87 states/eV/cell
DFT formation energy ... -0.47 eV/atom


10.
Here is Sc2TeP after structural relaxation from Alexandria. Energies are from PBE.

Cell lengths 3.441, 3.441, 7.020 Å; angles 90.00, 90.00, 90.00 degrees
Atoms (fractional coordinates):
Sc  0.000  0.000  0.217
Sc  0.000  0.000  0.783
Te  0.500  0.500  0.500
P  0.500  0.500  0.000

Volume ... 83.13 Å³/cell
D(E_F) ... 3.55 states/eV/cell
ΔE to the lowest computed polymorph ... 0.503 eV per atom


11.
Here is GaAs2RuSe after structural relaxation from Alexandria. Energies are from PBE.

Cell lengths 4.654, 4.654, 5.528 Å; angles 90.00, 90.00, 90.00 degrees
Atoms (fractional coordinates):
Ga  0.000  0.000  0.000
As  0.000  0.500  0.500
As  0.500  0.000  0.500
Ru  0.500  0.500  0.500
Se  0.500  0.500  0.000

Volume ... 119.73 Å³/cell
D(E_F) ... 4.80 states/eV/cell
ΔE to the lowest computed polymorph ... 0.000 eV per atom


12.
Here is CaScPb2 after structural relaxation from Alexandria. Energies are from PBE.

Cell lengths 5.040, 5.040, 4.311 Å; angles 90.00, 90.00, 90.00 degrees
Atoms (fractional coordinates):
Ca  0.000  0.000  0.000
Sc  0.500  0.500  0.000
Pb  0.000  0.500  0.500
Pb  0.500  0.000  0.500

Volume ... 109.51 Å³/cell
D(E_F) ... 3.77 states/eV/cell
DFT formation energy ... -0.35 eV/atom


13.
Here is Sm2YIn6 after structural relaxation from Alexandria. Energies are from PBE.

Cell lengths 8.638, 8.638, 3.633 Å; angles 90.00, 90.00, 120.00 degrees
Atoms (fractional coordinates):
Sm  0.333  0.667  0.000
Sm  0.667  0.333  0.000
Y  0.000  0.000  0.000
In  0.000  0.332  0.500
In  0.000  0.668  0.500
In  0.332  0.000  0.500
In  0.332  0.332  0.500
In  0.668  0.000  0.500
In  0.668  0.668  0.500

Volume ... 234.77 Å³/cell
D(E_F) ... 2.80 states/eV/cell
DFT formation energy ... -0.44 eV/atom
ΔE to the lowest computed polymorph ... 0.000 eV per atom


14.
Here is MnCo2Se6 after structural relaxation from Alexandria. Energies are from PBE.

Cell lengths 6.365, 6.365, 9.876 Å; angles 116.99, 116.99, 31.50 degrees
Atoms (fractional coordinates):
Mn  0.000  0.000  0.000
Co  0.342  0.342  0.677
Co  0.658  0.658  0.323
Se  0.008  0.008  0.253
Se  0.310  0.310  0.420
Se  0.338  0.338  0.915
Se  0.662  0.662  0.085
Se  0.690  0.690  0.580
Se  0.992  0.992  0.747

Volume ... 184.34 Å³/cell
Final energy ... -5.26 eV/atom
D(E_F) ... 3.86 states/eV/cell


15.
Here is Ta2ZnN after structural relaxation from Alexandria. Energies are from PBE.

Cell lengths 7.168, 7.168, 7.168 Å; angles 24.75, 24.75, 24.75 degrees
Atoms (fractional coordinates):
Ta  0.226  0.226  0.226
Ta  0.774  0.774  0.774
Zn  0.000  0.000  0.000
N  0.500  0.500  0.500

Volume ... 56.75 Å³/cell
D(E_F) ... 1.39 states/eV/cell
ΔE to the lowest computed polymorph ... 0.000 eV per atom


16.
Here is MoH2Cl4 after structural relaxation from Alexandria. Energies are from PBE.

Cell lengths 3.695, 6.990, 7.461 Å; angles 80.19, 88.46, 83.04 degrees
Atoms (fractional coordinates):
Mo  0.000  0.000  0.000
H  0.230  0.514  0.755
H  0.770  0.486  0.245
Cl  0.020  0.339  0.285
Cl  0.474  0.162  0.807
Cl  0.526  0.838  0.193
Cl  0.980  0.661  0.715

Volume ... 188.48 Å³/cell
Final energy ... -3.94 eV/atom


17.
Here is ScIn2Ru after structural relaxation from Alexandria. Energies are from PBE.

Cell lengths 10.690, 10.690, 10.690 Å; angles 158.08, 158.08, 31.20 degrees
Atoms (fractional coordinates):
Sc  0.000  0.000  0.000
Sc  0.750  0.250  0.500
In  0.136  0.625  0.011
In  0.375  0.386  0.511
In  0.614  0.125  0.989
In  0.875  0.864  0.489
Ru  0.250  0.750  0.500
Ru  0.500  0.500  0.000

Volume ... 170.14 Å³/cell
D(E_F) ... 6.13 states/eV/cell
DFT formation energy ... 0.12 eV/atom


18.
Here is GaCu2Pd2 after structural relaxation from Alexandria. Energies are from PBE.

Cell lengths 7.346, 7.346, 7.346 Å; angles 154.20, 154.20, 36.81 degrees
Atoms (fractional coordinates):
Ga  0.000  0.000  0.000
Cu  0.250  0.750  0.500
Cu  0.750  0.250  0.500
Pd  0.401  0.401  0.000
Pd  0.599  0.599  0.000

Volume ... 74.97 Å³/cell
D(E_F) ... 1.88 states/eV/cell
DFT formation energy ... -0.11 eV/atom
ΔE to the lowest computed polymorph ... 0.125 eV per atom


19.
Here is Ce2CuRh after structural relaxation from Alexandria. Energies are from PBE.

Cell lengths 5.791, 4.300, 7.579 Å; angles 90.00, 108.85, 90.00 degrees
Atoms (fractional coordinates):
Ce  0.217  0.250  0.427
Ce  0.224  0.250  0.936
Ce  0.776  0.750  0.064
Ce  0.783  0.750  0.573
Cu  0.352  0.750  0.711
Cu  0.648  0.250  0.289
Rh  0.313  0.750  0.209
Rh  0.687  0.250  0.791

Volume ... 178.61 Å³/cell
D(E_F) ... 18.94 states/eV/cell
DFT formation energy ... -0.41 eV/atom


20.
Here is LiP2OsRh after structural relaxation from Alexandria. Energies are from PBE.

Cell lengths 5.439, 5.439, 5.439 Å; angles 136.61, 136.61, 63.03 degrees
Atoms (fractional coordinates):
Li  0.000  0.000  0.000
P  0.378  0.378  0.000
P  0.622  0.622  0.000
Os  0.750  0.250  0.500
Rh  0.250  0.750  0.500

Volume ... 74.98 Å³/cell
D(E_F) ... 1.44 states/eV/cell
DFT formation energy ... -0.59 eV/atom


21.
Here is Er2PuRh3 after structural relaxation from Alexandria. Energies are from PBE.

Cell lengths 3.384, 3.384, 10.363 Å; angles 90.00, 90.00, 90.00 degrees
Atoms (fractional coordinates):
Er  0.000  0.000  0.165
Er  0.000  0.000  0.835
Pu  0.000  0.000  0.500
Rh  0.500  0.500  0.000
Rh  0.500  0.500  0.328
Rh  0.500  0.500  0.672

Volume ... 118.70 Å³/cell
D(E_F) ... 12.59 states/eV/cell
DFT formation energy ... -0.74 eV/atom


22.
Here is Pr5Tl2Os2 after structural relaxation from Alexandria. Energies are from PBE.

Cell lengths 9.292, 9.292, 7.992 Å; angles 90.00, 90.00, 49.46 degrees
Atoms (fractional coordinates):
Pr  0.000  0.000  0.000
Pr  0.063  0.699  0.681
Pr  0.199  0.563  0.181
Pr  0.301  0.937  0.681
Pr  0.437  0.801  0.181
Pr  0.500  0.500  0.500
Pr  0.563  0.199  0.819
Pr  0.699  0.063  0.319
Pr  0.801  0.437  0.819
Pr  0.937  0.301  0.319
Tl  0.222  0.222  0.000
Tl  0.278  0.278  0.500
Tl  0.722  0.722  0.500
Tl  0.778  0.778  0.000
Os  0.108  0.892  0.384
Os  0.392  0.608  0.884
Os  0.608  0.392  0.116
Os  0.892  0.108  0.616

Volume ... 524.37 Å³/cell
D(E_F) ... 12.95 states/eV/cell
DFT formation energy ... -0.17 eV/atom


23.
Here is AlInCuAu2 after structural relaxation from Alexandria. Energies are from PBE.

Cell lengths 4.933, 4.933, 4.512 Å; angles 90.00, 90.00, 90.00 degrees
Atoms (fractional coordinates):
Al  0.000  0.000  0.000
In  0.500  0.500  0.000
Cu  0.000  0.000  0.500
Au  0.000  0.500  0.500
Au  0.500  0.000  0.500

Volume ... 109.81 Å³/cell
D(E_F) ... 2.08 states/eV/cell
DFT formation energy ... 0.23 eV/atom


24.
Here is Ta4TlAg after structural relaxation from Alexandria. Energies are from PBE.

Cell lengths 5.545, 5.545, 5.545 Å; angles 60.00, 60.00, 60.00 degrees
Atoms (fractional coordinates):
Ta  0.125  0.125  0.125
Ta  0.125  0.125  0.625
Ta  0.125  0.625  0.125
Ta  0.625  0.125  0.125
Tl  0.750  0.750  0.750
Ag  0.500  0.500  0.500

Volume ... 120.54 Å³/cell
D(E_F) ... 5.86 states/eV/cell
DFT formation energy ... 0.61 eV/atom


25.
Here is La2Cu after structural relaxation from Alexandria. Energies are from PBE.

Cell lengths 5.098, 5.098, 7.398 Å; angles 90.00, 90.00, 120.00 degrees
Atoms (fractional coordinates):
La  0.000  0.000  0.000
La  0.000  0.000  0.500
La  0.333  0.667  0.250
La  0.667  0.333  0.750
Cu  0.333  0.667  0.750
Cu  0.667  0.333  0.250

Volume ... 166.47 Å³/cell
D(E_F) ... 6.02 states/eV/cell
DFT formation energy ... -0.01 eV/atom


26.
Here is Dy8Co2Ag after structural relaxation from Alexandria. Energies are from PBE.

Cell lengths 7.674, 7.674, 5.493 Å; angles 97.93, 97.93, 113.46 degrees
Atoms (fractional coordinates):
Dy  0.072  0.333  0.583
Dy  0.242  0.758  0.000
Dy  0.333  0.072  0.583
Dy  0.382  0.382  0.196
Dy  0.618  0.618  0.804
Dy  0.667  0.928  0.417
Dy  0.758  0.242  0.000
Dy  0.928  0.667  0.417
Co  0.303  0.697  0.500
Co  0.697  0.303  0.500
Ag  0.000  0.000  0.000

Volume ... 287.20 Å³/cell
D(E_F) ... 13.53 states/eV/cell
DFT formation energy ... -0.06 eV/atom